P | Here is crystalline LiTcAsO at its relaxed geometry from OQMD via LeMat-Bulk. Energies are from PBE.

M_tot = 0.32 μB per cell
Theoretical density = 5.6 Mg/m³

Unit cell a=3.0790 b=6.4410 c=5.8454 alpha=90.00 beta=90.00 gamma=90.00
Space group Pmc2_1 (No. 26)
Inequivalent atoms, fractional coordinates:
Li  0.0000  0.1283  0.0000 (multiplicity 2)
Tc  0.5000  0.4984  0.2102 (multiplicity 2)
As  0.0000  0.2745  0.4613 (multiplicity 2)
O  0.5000  0.2835  0.9567 (multiplicity 2)



Q | Here is crystalline LiTcAsO at its relaxed geometry from OQMD via LeMat-Bulk. Energies are from PBE.

M_tot = 0.84 μB per cell
Theoretical density = 6.4 Mg/m³

Unit cell a=3.3963 b=3.3963 c=8.7864 alpha=90.00 beta=90.00 gamma=90.00
Space group P4/nmm (No. 129, origin choice 2)
Inequivalent atoms, fractional coordinates:
Li  0.2500  0.7500  0.0000 (multiplicity 2)
Tc  0.2500  0.2500  0.3538 (multiplicity 2)
As  0.2500  0.2500  0.7869 (multiplicity 2)
O  0.2500  0.7500  0.5000 (multiplicity 2)



R | Here is crystalline LiTcAsO at its relaxed geometry from OQMD via LeMat-Bulk. Energies are from PBE.

M_tot = 0.00 μB per cell
Theoretical density = 5.8 Mg/m³

Unit cell a=3.7131 b=3.7131 c=8.1230 alpha=90.00 beta=90.00 gamma=90.00
Space group P4/nmm (No. 129, origin choice 2)
Inequivalent atoms, fractional coordinates:
Li  0.2500  0.2500  0.0619 (multiplicity 2)
Tc  0.2500  0.7500  0.5000 (multiplicity 2)
As  0.2500  0.2500  0.7206 (multiplicity 2)
O  0.2500  0.7500  0.0000 (multiplicity 2)



What should be chosen as the most stable of them? Choose P.



P | Here is crystalline LiZnAsO at its relaxed geometry from OQMD via LeMat-Bulk. Energies are from PBE.

Theoretical density = 4.5 Mg/m³

Unit cell a=3.1116 b=7.3640 c=5.2928 alpha=90.00 beta=90.00 gamma=90.00
Space group Pmc2_1 (No. 26)
Inequivalent atoms, fractional coordinates:
Li  0.0000  0.1178  0.0000 (multiplicity 2)
Zn  0.5000  0.2468  0.4255 (multiplicity 2)
As  0.5000  0.4261  0.8884 (multiplicity 2)
O  0.0000  0.1082  0.3542 (multiplicity 2)



Q | Here is crystalline LiZnAsO at its relaxed geometry from OQMD via LeMat-Bulk. Energies are from PBE.

Theoretical density = 4.7 Mg/m³

Unit cell a=3.1494 b=7.0169 c=5.2382 alpha=90.00 beta=90.00 gamma=90.00
Space group Pmc2_1 (No. 26)
Inequivalent atoms, fractional coordinates:
Li  0.0000  0.1771  0.0000 (multiplicity 2)
Zn  0.5000  0.1624  0.5053 (multiplicity 2)
As  0.0000  0.4459  0.4263 (multiplicity 2)
O  0.5000  0.0880  0.8597 (multiplicity 2)



What should be chosen as the most stable of them? Choose Q.